{
  "formula": "TiFe2Pt",
  "functional": "PBE",
  "state": "optimized geometry",
  "dft_energy_ev_per_cell": -122.97,
  "formation_enthalpy_0k_mev_per_atom": 30,
  "lattice": [[3.611, 0.000, 0.000], [0.000, 3.611, 0.000], [0.000, 0.000, 18.392]],
  "species": ["Ti", "Ti", "Ti", "Ti", "Fe", "Fe", "Fe", "Fe", "Fe", "Fe", "Fe", "Fe", "Pt", "Pt", "Pt", "Pt"],
  "frac_coords": [[0.000, 0.000, 0.000], [0.000, 0.500, 0.250], [0.500, 0.000, 0.750], [0.500, 0.500, 0.500], [0.249, 0.250, 0.125], [0.250, 0.749, 0.375], [0.250, 0.751, 0.875], [0.251, 0.250, 0.625], [0.749, 0.750, 0.625], [0.750, 0.249, 0.875], [0.750, 0.251, 0.375], [0.751, 0.750, 0.125], [0.000, 0.000, 0.500], [0.000, 0.500, 0.750], [0.500, 0.000, 0.250], [0.500, 0.500, 0.000]]
}